[1]
{
  "formula": "CsCa2Cd",
  "functional": "PBE",
  "state": "optimized geometry",
  "delta_e_f_mev_per_atom": 312,
  "cell": [[7.540, 0.000, 0.000], [0.000, 7.540, 0.000], [0.000, 0.000, 19.299]],
  "species": ["Cs", "Cs", "Cs", "Cs", "Ca", "Ca", "Ca", "Ca", "Ca", "Ca", "Ca", "Ca", "Cd", "Cd", "Cd", "Cd"],
  "fractional_positions": [[0.000, 0.000, 0.000], [0.000, 0.500, 0.250], [0.500, 0.000, 0.750], [0.500, 0.500, 0.500], [0.004, 0.250, 0.625], [0.250, 0.504, 0.875], [0.250, 0.996, 0.375], [0.496, 0.250, 0.125], [0.504, 0.750, 0.125], [0.750, 0.004, 0.375], [0.750, 0.496, 0.875], [0.996, 0.750, 0.625], [0.000, 0.000, 0.500], [0.000, 0.500, 0.750], [0.500, 0.000, 0.250], [0.500, 0.500, 0.000]]
}

---

[2]
{
  "formula": "CaTc2Te",
  "functional": "PBE",
  "state": "optimized geometry",
  "energy_ev_per_atom": -5.6930,
  "cell": [[7.871, 0.000, 0.000], [0.000, 7.871, 0.000], [0.000, 0.000, 5.782]],
  "species": ["Ca", "Ca", "Ca", "Ca", "Tc", "Tc", "Tc", "Tc", "Tc", "Tc", "Tc", "Tc", "Te", "Te", "Te", "Te"],
  "fractional_positions": [[0.000, 0.000, 0.000], [0.000, 0.500, 0.250], [0.500, 0.000, 0.750], [0.500, 0.500, 0.500], [0.185, 0.250, 0.625], [0.250, 0.685, 0.875], [0.250, 0.815, 0.375], [0.315, 0.250, 0.125], [0.685, 0.750, 0.125], [0.750, 0.185, 0.375], [0.750, 0.315, 0.875], [0.815, 0.750, 0.625], [0.000, 0.000, 0.500], [0.000, 0.500, 0.750], [0.500, 0.000, 0.250], [0.500, 0.500, 0.000]]
}

---

[3]
{
  "formula": "AsIBr2N",
  "functional": "PBE",
  "state": "optimized geometry",
  "e_above_lowest_polymorph_ev_per_atom": 0.0000,
  "cell": [[4.626, 0.000, 0.000], [0.000, 4.626, 0.000], [0.000, 0.000, 5.063]],
  "species": ["As", "I", "Br", "Br", "N"],
  "fractional_positions": [[0.000, 0.000, 0.000], [0.500, 0.500, 0.000], [0.000, 0.500, 0.500], [0.500, 0.000, 0.500], [0.000, 0.000, 0.500]]
}

---

[4]
{
  "formula": "Tm2Th2Pb2C",
  "functional": "PBE",
  "state": "optimized geometry",
  "delta_e_f_mev_per_atom": -453,
  "cell": [[4.798, 0.000, 0.000], [0.000, 4.798, 0.000], [0.000, 0.000, 16.461]],
  "species": ["Tm", "Tm", "Tm", "Tm", "Th", "Th", "Th", "Th", "Pb", "Pb", "Pb", "Pb", "C", "C"],
  "fractional_positions": [[0.000, 0.500, 0.000], [0.000, 0.500, 0.500], [0.500, 0.000, 0.000], [0.500, 0.000, 0.500], [0.000, 0.000, 0.159], [0.000, 0.000, 0.841], [0.500, 0.500, 0.341], [0.500, 0.500, 0.659], [0.000, 0.000, 0.363], [0.000, 0.000, 0.637], [0.500, 0.500, 0.137], [0.500, 0.500, 0.863], [0.000, 0.000, 0.000], [0.500, 0.500, 0.500]]
}

---

[5]
{
  "formula": "Ac6CdRu2Br3",
  "functional": "PBE",
  "state": "optimized geometry",
  "energy_ev_per_atom": -4.9295,
  "cell": [[3.850, -6.670, 0.000], [3.850, 6.670, 0.000], [-2.546, 0.000, 8.319]],
  "species": ["Ac", "Ac", "Ac", "Ac", "Ac", "Ac", "Cd", "Ru", "Ru", "Br", "Br", "Br"],
  "fractional_positions": [[0.065, 0.434, 0.800], [0.197, 0.197, 0.200], [0.434, 0.065, 0.800], [0.566, 0.935, 0.200], [0.803, 0.803, 0.800], [0.935, 0.566, 0.200], [0.500, 0.500, 0.000], [0.166, 0.834, 0.000], [0.834, 0.166, 0.000], [0.000, 0.000, 0.500], [0.332, 0.668, 0.500], [0.668, 0.332, 0.500]]
}

---

[6]
{
  "formula": "AgAs2Br",
  "functional": "PBE",
  "state": "optimized geometry",
  "e_above_lowest_polymorph_ev_per_atom": 0.2648,
  "cell": [[3.959, 0.000, 0.000], [0.000, 3.959, 0.000], [0.000, 0.000, 24.563]],
  "species": ["Ag", "Ag", "Ag", "Ag", "As", "As", "As", "As", "As", "As", "As", "As", "Br", "Br", "Br", "Br"],
  "fractional_positions": [[0.000, 0.000, 0.000], [0.000, 0.500, 0.250], [0.500, 0.000, 0.750], [0.500, 0.500, 0.500], [0.189, 0.250, 0.125], [0.250, 0.689, 0.375], [0.250, 0.811, 0.875], [0.311, 0.250, 0.625], [0.689, 0.750, 0.625], [0.750, 0.189, 0.875], [0.750, 0.311, 0.375], [0.811, 0.750, 0.125], [0.000, 0.000, 0.500], [0.000, 0.500, 0.750], [0.500, 0.000, 0.250], [0.500, 0.500, 0.000]]
}

---

[7]
{
  "formula": "AlFeAg2",
  "functional": "PBE",
  "state": "optimized geometry",
  "delta_e_f_mev_per_atom": 169,
  "cell": [[3.953, 0.000, 0.000], [0.000, 3.953, 0.000], [0.000, 0.000, 8.069]],
  "species": ["Al", "Al", "Fe", "Fe", "Ag", "Ag", "Ag", "Ag"],
  "fractional_positions": [[0.000, 0.000, 0.000], [0.500, 0.500, 0.500], [0.000, 0.000, 0.500], [0.500, 0.500, 0.000], [0.000, 0.500, 0.250], [0.000, 0.500, 0.750], [0.500, 0.000, 0.250], [0.500, 0.000, 0.750]]
}

---

[8]
{
  "formula": "CdIn3Hg4",
  "functional": "PBE",
  "state": "optimized geometry",
  "delta_e_f_mev_per_atom": 9,
  "e_above_lowest_polymorph_ev_per_atom": 0.0000,
  "cell": [[3.478, 0.000, 0.000], [0.000, 3.478, 0.000], [0.000, 0.000, 17.037]],
  "species": ["Cd", "In", "In", "In", "Hg", "Hg", "Hg", "Hg"],
  "fractional_positions": [[0.000, 0.000, 0.000], [0.000, 0.000, 0.244], [0.000, 0.000, 0.500], [0.000, 0.000, 0.756], [0.500, 0.500, 0.117], [0.500, 0.500, 0.372], [0.500, 0.500, 0.628], [0.500, 0.500, 0.883]]
}

---

[9]
{
  "formula": "Dy8Bi2Ru3",
  "functional": "PBE",
  "state": "optimized geometry",
  "delta_e_f_mev_per_atom": -438,
  "cell": [[4.892, -7.675, 0.000], [4.892, 7.675, 0.000], [0.000, 0.000, 4.884]],
  "species": ["Dy", "Dy", "Dy", "Dy", "Dy", "Dy", "Dy", "Dy", "Bi", "Bi", "Ru", "Ru", "Ru"],
  "fractional_positions": [[0.104, 0.896, 0.000], [0.150, 0.361, 0.500], [0.361, 0.150, 0.500], [0.392, 0.608, 0.000], [0.608, 0.392, 0.000], [0.639, 0.850, 0.500], [0.850, 0.639, 0.500], [0.896, 0.104, 0.000], [0.243, 0.757, 0.500], [0.757, 0.243, 0.500], [0.252, 0.252, 0.000], [0.500, 0.500, 0.500], [0.748, 0.748, 0.000]]
}

---

[10]
{
  "formula": "HfZrCr2Rh",
  "functional": "PBE",
  "state": "optimized geometry",
  "delta_e_f_mev_per_atom": 1183,
  "cell": [[4.514, 0.000, 0.000], [0.000, 4.514, 0.000], [0.000, 0.000, 4.755]],
  "species": ["Hf", "Zr", "Cr", "Cr", "Rh"],
  "fractional_positions": [[0.000, 0.000, 0.000], [0.500, 0.500, 0.500], [0.000, 0.500, 0.000], [0.500, 0.000, 0.000], [0.000, 0.000, 0.500]]
}

---

[11]
{
  "formula": "LiNiBr",
  "functional": "PBE",
  "state": "optimized geometry",
  "e_above_lowest_polymorph_ev_per_atom": 0.3591,
  "cell": [[5.746, 0.000, 0.000], [0.000, 5.746, 0.000], [0.000, 0.000, 5.746]],
  "species": ["Li", "Li", "Li", "Li", "Ni", "Ni", "Ni", "Ni", "Br", "Br", "Br", "Br"],
  "fractional_positions": [[0.000, 0.000, 0.000], [0.000, 0.500, 0.500], [0.500, 0.000, 0.500], [0.500, 0.500, 0.000], [0.250, 0.250, 0.750], [0.250, 0.750, 0.250], [0.750, 0.250, 0.250], [0.750, 0.750, 0.750], [0.000, 0.000, 0.500], [0.000, 0.500, 0.000], [0.500, 0.000, 0.000], [0.500, 0.500, 0.500]]
}

---

[12]
{
  "formula": "TmHfAgS4",
  "functional": "PBE",
  "state": "optimized geometry",
  "energy_ev_per_atom": -6.2804,
  "cell": [[-3.789, 3.926, 5.483], [3.789, -3.926, 5.483], [3.789, 3.926, -5.483]],
  "species": ["Tm", "Tm", "Hf", "Hf", "Ag", "Ag", "S", "S", "S", "S", "S", "S", "S", "S"],
  "fractional_positions": [[0.000, 0.000, 0.000], [0.500, 0.000, 0.500], [0.500, 0.000, 0.000], [0.500, 0.500, 0.500], [0.122, 0.372, 0.750], [0.878, 0.628, 0.250], [0.268, 0.259, 0.490], [0.268, 0.778, 0.010], [0.274, 0.247, 0.027], [0.279, 0.753, 0.527], [0.721, 0.247, 0.473], [0.726, 0.753, 0.973], [0.732, 0.222, 0.990], [0.732, 0.741, 0.510]]
}